# 1
Density functional theory data (GGA-PBE) for a geometry-optimized La2ScIr3O12 structure.

Structure (extended XYZ):
```
18
Lattice="-3.1164 5.7940 0.7627 -1.4091 1.5733 6.2772 3.7432 4.8361 2.5426" Properties=species:S:1:pos:R:3 pbc="T T T"
O 0.2461 7.6960 3.1934
O -2.6661 5.8518 5.3043
O 0.7579 7.8461 7.9005
O 1.2111 5.3104 6.3103
O 1.8838 6.3517 4.2782
O -1.0284 4.5074 6.3891
O -0.7560 2.4186 4.2151
O -2.3930 8.2861 7.0829
O -0.0263 9.7848 5.3674
O -1.5402 4.3574 1.6820
O 1.6107 3.9174 2.4996
O -1.9934 6.8931 3.2722
Sc 0.0000 0.0000 0.0000
La -0.4841 7.5520 5.9300
La -0.2982 4.6515 3.6525
Ir -0.7046 0.7867 3.1386
Ir -1.5582 2.8970 0.3813
Ir 1.8716 2.4181 1.2713
```

volume = 12.742 Å³/atom
symmetry = R-3m, No. 166
calculated total energy = -7.370 eV/atom
size of the total moment = 0.0000 μB/atom
E_form (uncorrected) = -1689 meV per atom



# 2
Density functional theory data (GGA-PBE) for a geometry-optimized SrLa2IrO8 structure.

Structure (extended XYZ):
```
12
Lattice="-4.0353 -2.7147 2.0370 3.2837 -3.9459 1.2747 1.1900 3.0693 6.4707" Properties=species:S:1:pos:R:3 pbc="T T T"
O 2.2105 -3.1330 2.6242
O -0.1994 -1.6773 0.8510
O 0.3508 -0.5968 4.2879
O 0.0875 -2.9945 5.4945
O 0.6378 -1.9140 8.9314
O -2.5107 -2.3481 3.1207
O 2.9490 -1.2432 6.6617
O -1.7721 -0.4582 7.1582
Sr 0.5950 1.5347 3.2353
La -0.0768 -2.5661 3.2948
La 0.5151 -1.0252 6.4876
Ir 0.0000 0.0000 0.0000
```

volume = 16.873 Å³/atom
symmetry = P-1, No. 2
calculated total energy = -7.056 eV/atom
size of the total moment = 0.0801 μB/atom
E_form (uncorrected) = -2051 meV per atom



# 3
Density functional theory data (GGA-PBE) for a geometry-optimized LaTl2IrO6 structure.

Structure (extended XYZ):
```
20
Lattice="5.9652 0.0000 -0.0297 0.0000 6.0072 0.0000 0.0093 0.0000 8.4519" Properties=species:S:1:pos:R:3 pbc="T T T"
Ir 0.0000 3.0036 0.0000
Ir 2.9873 0.0000 4.2111
O 4.8891 4.5703 8.0046
O 1.4489 1.1397 3.8409
O 4.0727 1.5667 4.6287
O 4.4361 1.8639 8.0520
O 1.5384 4.1433 0.3702
O 4.5257 4.8675 4.5813
O 2.4631 5.8452 6.0820
O 3.5114 0.1620 2.3402
O 5.4411 3.1656 1.8412
O 1.0854 1.4369 0.4176
O 0.5335 2.8416 6.5810
O 1.9018 4.4404 3.7935
Tl 3.0410 3.1606 6.3452
Tl 5.9208 0.1570 6.2881
Tl 2.9335 2.8466 2.0770
Tl 0.0538 5.8502 2.1341
La 0.0046 3.0036 4.2260
La 2.9826 0.0000 -0.0149
```

volume = 15.144 Å³/atom
symmetry = P2_1/c, No. 14
calculated total energy = -6.197 eV/atom
size of the total moment = 0.0001 μB/atom
E_form (uncorrected) = -1370 meV per atom



# 4
Density functional theory data (GGA-PBE) for a geometry-optimized La2TlIrO6 structure.

Structure (extended XYZ):
```
20
Lattice="-0.1972 -5.6834 0.0882 3.0654 -0.0232 5.3571 -7.1278 0.4557 4.0805" Properties=species:S:1:pos:R:3 pbc="T T T"
O 0.0988 -0.8836 1.4601
O -2.6754 -0.9200 2.7670
O -2.3753 -1.7868 8.0582
O -1.8843 -3.4641 1.4676
O -3.3418 -3.4991 3.9322
O -0.0941 -4.8474 3.9928
O -5.8743 -3.5374 5.6614
O -4.1656 -0.4035 5.5330
O 1.6147 -1.7135 3.8644
O -1.5842 -4.3309 6.7588
O -4.3584 -4.3673 8.0657
O -0.9178 -1.7518 5.5936
La -3.7109 -2.6580 6.1838
La -5.2988 -5.1985 3.5258
La -0.5488 -2.5929 3.3421
La 1.0392 -0.0524 6.0001
Tl -2.0312 0.2163 4.7188
Tl -0.0986 -2.8417 0.0441
Ir -3.6625 -2.6138 2.0843
Ir 1.5327 -0.0116 2.6786
```

volume = 14.436 Å³/atom
symmetry = P2_1/c, No. 14
calculated total energy = -7.103 eV/atom
size of the total moment = 0.0000 μB/atom
E_form (uncorrected) = -2020 meV per atom



# 5
Density functional theory data (GGA-PBE) for a geometry-optimized LaTlIrO6 structure.

Structure (extended XYZ):
```
18
Lattice="5.8317 0.0000 0.0000 -2.9159 5.0504 0.0000 0.0000 0.0000 8.8112" Properties=species:S:1:pos:R:3 pbc="T T T"
O 2.1132 0.2815 1.1133
O -0.8128 1.9709 5.5189
O -1.6154 3.3611 7.6980
O 1.3004 1.6893 3.2923
O 1.6154 3.3611 5.5189
O 0.8026 4.7689 7.6980
O 2.1031 3.0795 1.1133
O 4.5313 1.6893 1.1133
O -0.8026 4.7689 5.5189
O 3.7185 0.2815 3.2923
O 3.7287 3.0795 3.2923
O 0.8128 1.9709 7.6980
La 2.9159 1.6835 6.6084
La 0.0000 3.3669 2.2028
Ir 0.0000 3.3669 6.6084
Ir 2.9159 1.6835 2.2028
Tl 0.0000 0.0000 4.4056
Tl 0.0000 0.0000 0.0000
```

volume = 14.417 Å³/atom
symmetry = P-31c, No. 163
calculated total energy = -6.424 eV/atom
size of the total moment = 0.1683 μB/atom
E_form (uncorrected) = -1324 meV per atom



# 6
Density functional theory data (GGA-PBE) for a geometry-optimized La2Tl2IrO6 structure.

Structure (extended XYZ):
```
11
Lattice="6.0739 -0.0161 0.1695 -3.0161 5.2722 0.1695 -0.9707 -1.6684 6.4218" Properties=species:S:1:pos:R:3 pbc="T T T"
O 0.3885 0.6679 2.0708
O -1.4254 0.6773 4.2988
O 0.7939 4.4921 2.4620
O 1.2933 -0.9044 4.2988
O 3.5127 2.9104 2.4620
O 1.6987 2.9199 4.6900
Tl 4.6401 0.8181 0.1695
Tl -1.5822 4.4381 0.1695
La 2.5224 0.9335 3.3804
La -0.4352 2.6542 3.3804
Ir -0.4853 -0.8342 3.2109
```

volume = 18.980 Å³/atom
symmetry = C2/m, No. 12
calculated total energy = -6.605 eV/atom
size of the total moment = 0.0922 μB/atom
E_form (uncorrected) = -1769 meV per atom



# 7
Density functional theory data (GGA-PBE) for a geometry-optimized LaTm2IrO8 structure.

Structure (extended XYZ):
```
12
Lattice="-1.8818 4.5869 0.7562 -3.4593 -0.8180 -3.5469 -4.2930 -2.5478 4.7742" Properties=species:S:1:pos:R:3 pbc="T T T"
O -3.0389 3.0517 0.8985
O -5.6122 1.5247 3.7597
O -6.5952 -1.8306 1.0850
O -3.8498 -0.0711 1.4977
O -4.0219 -0.3036 -1.7763
O -5.7843 1.2922 0.4858
O -8.1762 0.1934 2.7457
O -1.4579 1.0277 -0.7622
La -2.1465 -1.2739 2.3871
Tm -3.7377 1.2513 -0.2087
Tm -5.8964 -0.0302 2.1922
Ir 0.0000 0.0000 0.0000
```

volume = 14.497 Å³/atom
symmetry = Cmmm, No. 65
calculated total energy = -7.581 eV/atom
size of the total moment = 0.1673 μB/atom
E_form (uncorrected) = -2381 meV per atom



# 8
Density functional theory data (GGA-PBE) for a geometry-optimized LaYIrO6 structure.

Structure (extended XYZ):
```
18
Lattice="-2.7216 -4.8090 -0.5787 4.1200 0.4323 3.7024 -6.6683 2.9219 7.0794" Properties=species:S:1:pos:R:3 pbc="T T T"
La -3.3342 1.4610 3.5397
La 0.0000 0.0000 0.0000
O -2.8272 1.8339 5.9057
O -1.2345 0.6697 7.8865
O -4.0354 -2.1246 2.3166
O -0.1776 -2.5150 2.9133
O -3.1102 2.5994 8.5215
O -3.2273 -0.8362 6.6309
O -2.1597 -4.0543 1.6815
O -2.4427 -3.2888 4.2973
O -5.0923 1.0601 7.2898
O -2.0426 -0.6187 3.5721
O -1.7910 -1.3875 0.9281
O -3.4789 -0.0674 9.2749
Ir -2.1081 -2.3315 2.6182
Ir -3.1617 0.8766 7.5849
Y 0.1724 -0.5844 4.0452
Y -5.4423 -0.8705 6.1579
```

volume = 15.082 Å³/atom
symmetry = P-31c, No. 163
calculated total energy = -7.763 eV/atom
size of the total moment = 0.3360 μB/atom
E_form (uncorrected) = -2207 meV per atom



# 9
Density functional theory data (GGA-PBE) for a geometry-optimized La2ZnIrO6 structure.

Structure (extended XYZ):
```
20
Lattice="5.8331 0.0000 0.0000 0.0000 5.5877 0.0078 0.0000 5.5857 7.9651" Properties=species:S:1:pos:R:3 pbc="T T T"
La 5.4803 5.5014 2.0024
La 2.5638 2.8792 1.9880
La 0.3528 5.6720 5.9705
La 3.2693 8.2942 5.9850
Ir 2.9165 0.0000 0.0000
Ir 0.0000 2.7928 3.9826
O 1.7667 7.2478 7.5737
O 1.2149 4.5264 0.4177
O 0.1622 2.2556 2.0206
O 4.6182 6.6470 7.5553
O 3.0787 6.1249 1.9698
O 1.1498 4.4550 3.5911
O 4.1314 3.8541 3.5727
O 2.7544 5.0484 6.0032
O 4.0664 3.9255 0.3992
O 5.6709 8.9178 5.9523
O 1.7017 7.3193 4.4003
O 4.6832 6.7184 4.3818
Zn 0.0000 2.7939 0.0039
Zn 2.9165 5.5867 3.9865
```

volume = 12.968 Å³/atom
symmetry = P2_1/c, No. 14
calculated total energy = -7.203 eV/atom
size of the total moment = 0.1019 μB/atom
E_form (uncorrected) = -2230 meV per atom



# 10
Density functional theory data (GGA-PBE) for a geometry-optimized LaZrIrO2 structure.

Structure (extended XYZ):
```
5
Lattice="4.1733 0.0000 0.0000 0.0000 5.2904 0.0000 0.0000 0.0000 4.1733" Properties=species:S:1:pos:R:3 pbc="T T T"
Ir 0.0000 2.6452 0.0000
Zr 0.0000 0.0000 0.0000
O 2.0867 0.0000 0.0000
O 0.0000 0.0000 2.0867
La 2.0867 2.6452 2.0867
```

volume = 18.428 Å³/atom
symmetry = P4/mmm, No. 123
calculated total energy = -8.350 eV/atom
size of the total moment = 0.0000 μB/atom
E_form (uncorrected) = -1899 meV per atom



# 11
Density functional theory data (GGA-PBE) for a geometry-optimized La2IrOs2 structure.

Structure (extended XYZ):
```
10
Lattice="-4.3924 3.7657 -3.6462 2.8282 -2.3026 -5.7851 -3.0147 -3.5684 -0.0536" Properties=species:S:1:pos:R:3 pbc="T T T"
Os 0.8284 -0.6034 -6.4243
Os -2.0719 1.8526 -6.8072
Os 0.5077 -0.3895 -2.6241
Os -2.3926 2.0665 -3.0070
La -2.3491 -1.0397 -2.2511
La -0.3867 -2.6610 -4.6885
La -4.1923 0.5557 -4.7963
La -2.2298 -1.0656 -7.2338
Ir -0.7821 0.7315 -4.7156
Ir 0.0000 0.0000 0.0000
```

volume = 21.849 Å³/atom
symmetry = P4/mbm, No. 127
calculated total energy = -8.277 eV/atom
size of the total moment = 0.0000 μB/atom
DFT formation energy = -41.9 meV/atom



# 12
Density functional theory data (GGA-PBE) for a geometry-optimized La2IrOs structure.

Structure (extended XYZ):
```
4
Lattice="3.5425 -3.3042 1.4896 -1.0839 -3.4467 3.5540 -0.4099 -4.8927 -1.2564" Properties=species:S:1:pos:R:3 pbc="T T T"
Ir 1.0243 -5.8218 1.8936
Os 0.0000 0.0000 0.0000
La 1.5364 -8.7327 2.8404
La 0.5121 -2.9109 0.9468
```

volume = 23.012 Å³/atom
energy above the lowest structure with this stoichiometry = 126 meV per atom
symmetry = Fm-3m, No. 225
calculated total energy = -7.636 eV/atom
size of the total moment = 0.0000 μB/atom
DFT formation energy = -149.3 meV/atom